# Mn5Re4 PBE optimized geometry
# - SG = P6_3/mcm, No. 193
# - distance to the lowest polymorph of the same formula (eV per atom) = 0.091
# - calculated formation energy (eV per formula unit) = 1.6
data_Mn5Re4
_chemical_formula_sum 'Mn10 Re8'
_symmetry_space_group_name_H-M 'P 1'
_symmetry_Int_Tables_number 1
_symmetry_space_group_name_Hall 'P 1'
_cell_length_a 7.190
_cell_length_b 7.190
_cell_length_c 5.184
_cell_angle_alpha 90.00
_cell_angle_beta 90.00
_cell_angle_gamma 120.00
loop_
_atom_site_label
_atom_site_type_symbol
_atom_site_fract_x
_atom_site_fract_y
_atom_site_fract_z
_atom_site_occupancy
Mn1 Mn 0.000 0.331 0.250 1
Mn2 Mn 0.000 0.669 0.750 1
Mn3 Mn 0.331 0.000 0.250 1
Mn4 Mn 0.331 0.331 0.750 1
Mn5 Mn 0.333 0.667 0.000 1
Mn6 Mn 0.333 0.667 0.500 1
Mn7 Mn 0.667 0.333 0.000 1
Mn8 Mn 0.667 0.333 0.500 1
Mn9 Mn 0.669 0.000 0.750 1
Mn10 Mn 0.669 0.669 0.250 1
Re1 Re 0.000 0.000 0.000 1
Re2 Re 0.000 0.000 0.500 1
Re3 Re 0.000 0.344 0.750 1
Re4 Re 0.000 0.656 0.250 1
Re5 Re 0.344 0.000 0.750 1
Re6 Re 0.344 0.344 0.250 1
Re7 Re 0.656 0.000 0.250 1
Re8 Re 0.656 0.656 0.750 1


# Tm3Cu4Pd PBE optimized geometry
# - SG = Immm, No. 71
# - calculated formation energy (eV per formula unit) = -1.1
data_Tm3Cu4Pd
_chemical_formula_sum 'Tm3 Cu4 Pd1'
_symmetry_space_group_name_H-M 'P 1'
_symmetry_Int_Tables_number 1
_symmetry_space_group_name_Hall 'P 1'
_cell_length_a 9.155
_cell_length_b 9.155
_cell_length_c 9.155
_cell_angle_alpha 155.34
_cell_angle_beta 149.38
_cell_angle_gamma 39.70
loop_
_atom_site_label
_atom_site_type_symbol
_atom_site_fract_x
_atom_site_fract_y
_atom_site_fract_z
_atom_site_occupancy
Tm1 Tm 0.000 0.000 0.000 1
Tm2 Tm 0.288 0.788 0.500 1
Tm3 Tm 0.712 0.212 0.500 1
Cu1 Cu 0.112 0.372 0.740 1
Cu2 Cu 0.367 0.628 0.740 1
Cu3 Cu 0.633 0.372 0.260 1
Cu4 Cu 0.888 0.628 0.260 1
Pd1 Pd 0.500 0.500 0.000 1